{
  "formula": "Pm7PrMg2",
  "functional": "PBE",
  "state": "relaxed",
  "ef_ev_per_atom": 0.14,
  "de_polymorph_mev_per_atom": 0.0,
  "m_tot_mub_per_fu": 0.00,
  "cell": [[3.422, 0.000, 0.000], [0.000, 11.481, -3.048], [0.000, -1.294, 8.775]],
  "species": ["Pm", "Pm", "Pm", "Pm", "Pm", "Pm", "Pm", "Mg", "Mg", "Pr"],
  "fractional_positions": [[0.500, 0.690, 0.910], [0.500, 0.806, 0.612], [0.500, 0.500, 0.500], [0.000, 0.385, 0.783], [0.000, 0.615, 0.217], [0.500, 0.310, 0.090], [0.500, 0.194, 0.388], [0.500, 0.898, 0.299], [0.500, 0.102, 0.701], [0.000, 0.000, 0.000]]
}


{
  "formula": "PmPr3Mg8",
  "functional": "PBE",
  "state": "relaxed",
  "ef_ev_per_atom": -0.11,
  "m_tot_mub_per_fu": 0.00,
  "cell": [[6.155, 0.000, 0.000], [3.078, 5.331, 0.000], [3.078, 1.777, 10.018]],
  "species": ["Mg", "Mg", "Mg", "Mg", "Mg", "Mg", "Mg", "Mg", "Pr", "Pr", "Pr", "Pm"],
  "fractional_positions": [[0.438, 0.938, 0.686], [0.937, 0.437, 0.188], [0.687, 0.687, 0.938], [0.938, 0.438, 0.686], [0.187, 0.187, 0.438], [0.437, 0.437, 0.188], [0.437, 0.937, 0.188], [0.938, 0.938, 0.686], [0.000, 0.000, 0.001], [0.500, 0.500, 0.500], [0.375, 0.375, 0.875], [0.875, 0.875, 0.375]]
}


{
  "formula": "PmPr4Mg",
  "functional": "PBE",
  "state": "relaxed",
  "ef_ev_per_atom": -0.03,
  "de_polymorph_mev_per_atom": 0.0,
  "m_tot_mub_per_fu": 0.00,
  "cell": [[-2.461, -2.297, -1.601], [2.513, -0.871, -2.613], [4.859, -11.028, 8.349]],
  "species": ["Mg", "Pr", "Pr", "Pr", "Pr", "Pm"],
  "fractional_positions": [[0.500, 0.500, 0.500], [0.000, 0.000, 0.648], [0.500, 0.500, 0.824], [0.000, 0.000, 0.352], [0.500, 0.500, 0.176], [0.000, 0.000, 0.000]]
}


{
  "formula": "Pm6PrMg",
  "functional": "PBE",
  "state": "relaxed",
  "ef_ev_per_atom": 0.01,
  "de_polymorph_mev_per_atom": 0.0,
  "m_tot_mub_per_fu": 0.00,
  "cell": [[4.851, 0.000, 1.461], [-0.440, 4.831, 1.461], [-0.642, -0.705, 10.919]],
  "species": ["Pm", "Pm", "Pm", "Pm", "Pm", "Pm", "Pr", "Mg"],
  "fractional_positions": [[0.124, 0.624, 0.752], [0.252, 0.252, 0.496], [0.624, 0.124, 0.752], [0.376, 0.876, 0.248], [0.876, 0.376, 0.248], [0.748, 0.748, 0.504], [0.500, 0.500, 0.000], [0.000, 0.000, 0.000]]
}


{
  "formula": "Pm2Pr2Mg15",
  "functional": "PBE",
  "state": "relaxed",
  "ef_ev_per_atom": -0.01,
  "m_tot_mub_per_fu": 0.00,
  "cell": [[-4.300, 1.115, -6.625], [-6.995, -2.312, 3.057], [-2.641, 7.296, 1.848]],
  "species": ["Mg", "Mg", "Mg", "Mg", "Mg", "Mg", "Mg", "Mg", "Mg", "Mg", "Mg", "Mg", "Mg", "Mg", "Mg", "Pr", "Pr", "Pm", "Pm"],
  "fractional_positions": [[0.158, 0.644, 0.644], [0.842, 0.356, 0.356], [0.000, 0.000, 0.500], [0.300, 0.700, 0.000], [0.356, 0.842, 0.356], [0.000, 0.500, 0.000], [0.700, 0.000, 0.300], [0.000, 0.700, 0.300], [0.644, 0.644, 0.158], [0.000, 0.300, 0.700], [0.500, 0.000, 0.000], [0.700, 0.300, 0.000], [0.356, 0.356, 0.842], [0.300, 0.000, 0.700], [0.644, 0.158, 0.644], [0.334, 0.334, 0.334], [0.666, 0.666, 0.666], [0.096, 0.096, 0.096], [0.904, 0.904, 0.904]]
}


{
  "formula": "PmPrMg2",
  "functional": "PBE",
  "state": "relaxed",
  "ef_ev_per_atom": -0.12,
  "de_polymorph_mev_per_atom": 0.0,
  "m_tot_mub_per_fu": 0.00,
  "cell": [[5.500, 0.000, 0.000], [2.750, 4.763, 0.000], [2.750, 1.588, 4.491]],
  "species": ["Mg", "Mg", "Pr", "Pm"],
  "fractional_positions": [[0.750, 0.750, 0.750], [0.250, 0.250, 0.250], [0.000, 0.000, 0.000], [0.500, 0.500, 0.500]]
}


{
  "formula": "PmPr5Mg6",
  "functional": "PBE",
  "state": "relaxed",
  "ef_ev_per_atom": -0.12,
  "m_tot_mub_per_fu": 0.00,
  "cell": [[5.234, -0.031, 1.744], [0.042, 7.836, 0.014], [-0.001, -0.016, 8.728]],
  "species": ["Mg", "Mg", "Mg", "Mg", "Mg", "Mg", "Pm", "Pr", "Pr", "Pr", "Pr", "Pr"],
  "fractional_positions": [[0.834, 0.248, 0.332], [0.500, 0.249, 0.000], [0.834, 0.752, 0.332], [0.500, 0.751, 0.000], [0.166, 0.752, 0.668], [0.166, 0.248, 0.668], [0.000, 0.000, 0.000], [0.334, 0.000, 0.332], [0.000, 0.500, 0.000], [0.666, 0.000, 0.668], [0.667, 0.500, 0.666], [0.333, 0.500, 0.334]]
}


{
  "formula": "PmPr5Mg",
  "functional": "PBE",
  "state": "relaxed",
  "ef_ev_per_atom": 0.09,
  "m_tot_mub_per_fu": 0.00,
  "cell": [[9.815, 0.000, 0.000], [-4.907, 4.419, 0.226], [0.000, 3.788, 11.461]],
  "species": ["Pr", "Pr", "Pr", "Pr", "Pr", "Pr", "Pr", "Pr", "Pr", "Pr", "Mg", "Mg", "Pm", "Pm"],
  "fractional_positions": [[0.453, 0.228, 0.963], [0.225, 0.772, 0.537], [0.980, 0.589, 0.846], [0.547, 0.772, 0.037], [0.609, 0.589, 0.346], [0.138, 0.000, 0.250], [0.020, 0.411, 0.154], [0.862, 0.000, 0.750], [0.775, 0.228, 0.463], [0.391, 0.411, 0.654], [0.000, 0.000, 0.000], [0.000, 0.000, 0.500], [0.495, 0.000, 0.250], [0.505, 0.000, 0.750]]
}


{
  "formula": "Pm4Pr7Mg",
  "functional": "PBE",
  "state": "relaxed",
  "ef_ev_per_atom": 0.08,
  "de_polymorph_mev_per_atom": 61.9,
  "m_tot_mub_per_fu": 0.00,
  "cell": [[5.957, 1.554, 0.666], [4.047, 7.965, 2.845], [-1.375, -0.002, 10.126]],
  "species": ["Pr", "Pr", "Pr", "Pr", "Pr", "Pr", "Pr", "Pm", "Pm", "Pm", "Pm", "Mg"],
  "fractional_positions": [[0.461, 0.284, 0.433], [0.539, 0.716, 0.567], [0.291, 0.457, 0.086], [0.709, 0.543, 0.914], [0.928, 0.821, 0.360], [0.500, 0.000, 0.000], [0.072, 0.179, 0.640], [0.101, 0.135, 0.264], [0.899, 0.865, 0.736], [0.365, 0.398, 0.736], [0.635, 0.602, 0.264], [0.000, 0.000, 0.000]]
}


{
  "formula": "PmPrMg2",
  "functional": "PBE",
  "state": "relaxed",
  "ef_ev_per_atom": -0.11,
  "de_polymorph_mev_per_atom": 4.0,
  "m_tot_mub_per_fu": 0.00,
  "cell": [[-3.243, 1.809, -1.190], [-2.902, -2.699, 3.802], [0.940, 4.047, 3.591]],
  "species": ["Mg", "Mg", "Pr", "Pm"],
  "fractional_positions": [[0.000, 0.000, 0.500], [0.000, 0.500, 0.000], [0.500, 0.000, 0.000], [0.500, 0.500, 0.500]]
}


{
  "formula": "PmPr7Mg2",
  "functional": "PBE",
  "state": "relaxed",
  "ef_ev_per_atom": 0.50,
  "m_tot_mub_per_fu": 0.00,
  "cell": [[-3.415, 2.233, -3.615], [-3.853, -8.520, -1.624], [-3.153, 5.973, 6.668]],
  "species": ["Pr", "Pr", "Pr", "Pr", "Pr", "Pr", "Pr", "Pm", "Mg", "Mg"],
  "fractional_positions": [[0.500, 0.931, 0.699], [0.500, 0.500, 0.500], [0.000, 0.785, 0.215], [0.500, 0.069, 0.301], [0.500, 0.301, 0.069], [0.500, 0.699, 0.931], [0.000, 0.215, 0.785], [0.000, 0.000, 0.000], [0.500, 0.298, 0.702], [0.500, 0.702, 0.298]]
}


{
  "formula": "Pm4Pr15Mg",
  "functional": "PBE",
  "state": "relaxed",
  "ef_ev_per_atom": 0.01,
  "m_tot_mub_per_fu": 0.00,
  "cell": [[-0.284, -4.260, 2.969], [-2.489, -2.498, -3.822], [22.847, -8.173, -9.536]],
  "species": ["Pm", "Pm", "Pm", "Pm", "Pr", "Pr", "Pr", "Pr", "Pr", "Pr", "Pr", "Pr", "Pr", "Pr", "Pr", "Pr", "Pr", "Pr", "Pr", "Mg"],
  "fractional_positions": [[0.000, 0.000, 0.803], [0.000, 0.000, 0.399], [0.000, 0.000, 0.601], [0.000, 0.000, 0.197], [0.500, 0.000, 0.298], [0.500, 0.000, 0.097], [0.500, 0.500, 0.196], [0.500, 0.000, 0.500], [0.500, 0.000, 0.702], [0.500, 0.500, 0.602], [0.000, 0.500, 0.500], [0.500, 0.500, 0.804], [0.000, 0.500, 0.097], [0.000, 0.500, 0.702], [0.000, 0.500, 0.903], [0.500, 0.000, 0.903], [0.000, 0.500, 0.298], [0.500, 0.500, 0.398], [0.500, 0.500, 0.000], [0.000, 0.000, 0.000]]
}